Entry 1:
The following is a DFT calculation (PBE-GGA) of a geometry-optimized SnBIr2 structure.

Results
- relative energy among the computed polymorphs (eV per atom) = 0.7055
- DOS at the Fermi energy (states/eV/atom) = 1.122
- formation enthalpy at 0 K (eV per atom) = 0.64

Geometry as POSCAR:
```
SnBIr2
1.0
0.0000 3.0731 3.0731
3.0731 0.0000 3.0731
3.0731 3.0731 0.0000
B Ir Sn
1 2 1
Direct
0.0000 0.0000 0.0000
0.2500 0.2500 0.2500
0.7500 0.7500 0.7500
0.5000 0.5000 0.5000
```

Entry 2:
The following is a DFT calculation (PBE-GGA) of a geometry-optimized SnBIr structure.

Results
- relative energy among the computed polymorphs (eV per atom) = 0.6272
- DOS at the Fermi energy (states/eV/atom) = 0.487
- formation enthalpy at 0 K (eV per atom) = 0.66

Geometry as POSCAR:
```
SnBIr
1.0
-1.7325 1.7524 2.8110
-2.1080 -3.0303 0.5899
4.3301 -0.5981 0.5559
B Ir Sn
1 1 1
Direct
0.2682 0.2682 0.5364
0.9843 0.9843 0.9687
0.5975 0.5975 0.1949
```

Entry 3:
The following is a DFT calculation (PBE-GGA) of a geometry-optimized Th3SnB2Ir9 structure.

Results
- DOS at the Fermi energy (states/eV/atom) = 0.793
- formation enthalpy at 0 K (eV per atom) = -0.55

Geometry as POSCAR:
```
Th3SnB2Ir9
1.0
-5.4744 -2.1450 -0.4765
4.1406 -3.0889 2.8480
-2.2934 4.1197 7.8024
Th Sn B Ir
3 1 2 9
Direct
0.3333 0.6667 0.6712
0.0000 0.0000 0.0000
0.6667 0.3333 0.3288
0.0000 0.0000 0.5000
0.3333 0.6667 0.1443
0.6667 0.3333 0.8557
0.8372 0.1628 0.7308
0.8372 0.6745 0.7308
0.3255 0.1628 0.7308
0.6745 0.8372 0.2692
0.1628 0.3255 0.2692
0.1628 0.8372 0.2692
0.5000 0.0000 0.0000
0.0000 0.5000 0.0000
0.5000 0.5000 0.0000
```